# 1
## KBa2TlS (GGA-PBE)

Data for a relaxed structure of KBa2TlS.

## Properties
V = 225 Å³/cell
Total energy = -3.05 eV per atom
Spin magnetization = 1.44 Bohr magnetons per cell
Density = 4.1 Mg/m³

abc: 6.153 6.153 5.949
angles: 90.00 90.00 90.00
Space group P4/mmm (No. 123)
One atom of each set of equivalent atoms:
K  0.000  0.000  0.000 [1 per cell]
Ba  0.000  0.500  0.500 [2 per cell]
Tl  0.500  0.500  0.000 [1 per cell]
S  0.000  0.000  0.500 [1 per cell]

# 2
## KBaTl2S (GGA-PBE)

Data for a relaxed structure of KBaTl2S.

## Properties
V = 302 Å³/cell
Total energy = -1.68 eV per atom
Spin magnetization = 0.00 Bohr magnetons per cell
Density = 3.4 Mg/m³

abc: 6.388 6.388 7.398
angles: 90.00 90.00 90.00
Space group P4/mmm (No. 123)
One atom of each set of equivalent atoms:
K  0.000  0.000  0.000 [1 per cell]
Ba  0.000  0.000  0.500 [1 per cell]
Tl  0.000  0.500  0.500 [2 per cell]
S  0.500  0.500  0.000 [1 per cell]

# 3
## KBa2TlS4 (GGA-PBE)

Data for a relaxed structure of KBa2TlS4.

## Properties
V = 985 Å³/cell
Total energy = -4.18 eV per atom
Spin magnetization = 0.00 Bohr magnetons per cell
Density = 4.4 Mg/m³

abc: 8.899 9.091 12.170
angles: 90.00 90.00 90.00
Space group Imma (No. 74)
One atom of each set of equivalent atoms:
K  0.250  0.250  0.250 [4 per cell]
Ba  0.000  0.000  0.000 [4 per cell]
Ba  0.250  0.250  0.750 [4 per cell]
Tl  0.000  0.000  0.500 [4 per cell]
S  0.000  0.003  0.711 [8 per cell]
S  0.245  0.250  0.000 [8 per cell]

# 4
## K2BaUS4 (GGA-PBE)

Data for a relaxed structure of K2BaUS4.

## Properties
V = 240 Å³/cell
Total energy = -5.53 eV per atom
Spin magnetization = 2.00 Bohr magnetons per cell
Density = 4.0 Mg/m³

abc: 7.641 4.273 7.774
angles: 90.00 108.86 90.00
Space group P2/m (No. 10)
One atom of each set of equivalent atoms:
K  0.000  0.000  0.000 [1 per cell]
K  0.500  0.500  0.000 [1 per cell]
Ba  0.000  0.500  0.500 [1 per cell]
U  0.500  0.000  0.500 [1 per cell]
S  0.283  0.000  0.710 [2 per cell]
S  0.294  0.500  0.298 [2 per cell]

# 5
## K2BaU3S8 (GGA-PBE)

Data for a relaxed structure of K2BaU3S8.

## Properties
V = 1334 Å³/cell
Total energy = -6.53 eV per atom
Spin magnetization = 18.00 Bohr magnetons per cell
Density = 4.4 Mg/m³

abc: 8.2923 8.2923 22.4069
angles: 90.00 90.00 120.00
Space group R3m (No. 160, hexagonal axes)
One atom of each set of equivalent atoms:
K  0.0000  0.0000  0.0000 [3 per cell]
K  0.0000  0.0000  0.3695 [3 per cell]
Ba  0.0000  0.0000  0.6239 [3 per cell]
U  0.1682  0.3364  0.8313 [9 per cell]
S  0.0000  0.0000  0.2286 [3 per cell]
S  0.0000  0.0000  0.7667 [3 per cell]
S  0.0335  0.5167  0.7695 [9 per cell]
S  0.1850  0.3701  0.5627 [9 per cell]

# 6
## K2BaUS6 (GGA-PBE)

Data for a relaxed structure of K2BaUS6.

## Properties
V = 652 Å³/cell
Total energy = -5.14 eV per atom
Spin magnetization = 4.18 Bohr magnetons per cell
Density = 3.3 Mg/m³

abc: 7.616 7.898 13.234
angles: 90.00 125.04 90.00
Space group P2_1/c (No. 14)
One atom of each set of equivalent atoms:
K  0.233  0.055  0.252 [4 per cell]
Ba  0.500  0.000  0.000 [2 per cell]
U  0.000  0.000  0.500 [2 per cell]
S  0.118  0.239  0.941 [4 per cell]
S  0.218  0.685  0.954 [4 per cell]
S  0.322  0.037  0.721 [4 per cell]

# 7
## KBa2US5 (GGA-PBE)

Data for a relaxed structure of KBa2US5.

## Properties
V = 587 Å³/cell
Total energy = -5.78 eV per atom
Spin magnetization = 2.00 Bohr magnetons per cell
Density = 4.0 Mg/m³

abc: 5.162 7.646 14.879
angles: 90.00 90.00 90.00
Space group Immm (No. 71)
One atom of each set of equivalent atoms:
K  0.000  0.000  0.000 [2 per cell]
Ba  0.000  0.500  0.212 [4 per cell]
U  0.000  0.000  0.500 [2 per cell]
S  0.000  0.231  0.370 [8 per cell]
S  0.000  0.500  0.000 [2 per cell]

# 8
## K2Ba2US6 (GGA-PBE)

Data for a relaxed structure of K2Ba2US6.

## Properties
V = 748 Å³/cell
Total energy = -5.40 eV per atom
Spin magnetization = 0.00 Bohr magnetons per cell
Density = 3.5 Mg/m³

abc: 7.802 12.934 7.806
angles: 90.00 108.21 90.00
Space group C2/m (No. 12)
One atom of each set of equivalent atoms:
K  0.000  0.166  0.000 [4 per cell]
Ba  0.000  0.337  0.500 [4 per cell]
U  0.000  0.000  0.500 [2 per cell]
S  0.201  0.142  0.699 [8 per cell]
S  0.205  0.000  0.298 [4 per cell]

# 9
## K3Ba2US6 (GGA-PBE)

Data for a relaxed structure of K3Ba2US6.

## Properties
V = 747 Å³/cell
Total energy = -5.23 eV per atom
Spin magnetization = 2.00 Bohr magnetons per cell
Density = 3.7 Mg/m³

abc: 7.673 13.289 7.776
angles: 90.00 109.53 90.00
Space group C2/m (No. 12)
One atom of each set of equivalent atoms:
K  0.000  0.000  0.000 [2 per cell]
K  0.000  0.335  0.000 [4 per cell]
Ba  0.000  0.167  0.500 [4 per cell]
U  0.000  0.500  0.500 [2 per cell]
S  0.213  0.357  0.711 [8 per cell]
S  0.215  0.500  0.295 [4 per cell]

# 10
## K4BaV2S8 (GGA-PBE)

Data for a relaxed structure of K4BaV2S8.

## Properties
V = 1702 Å³/cell
Total energy = -5.12 eV per atom
Spin magnetization = 0.00 Bohr magnetons per cell
Density = 2.5 Mg/m³

abc: 9.090 18.652 10.040
angles: 90.00 90.00 90.00
Space group Ibam (No. 72)
One atom of each set of equivalent atoms:
K  0.000  0.249  0.250 [8 per cell]
K  0.127  0.422  0.000 [8 per cell]
Ba  0.000  0.000  0.250 [4 per cell]
V  0.208  0.133  0.000 [8 per cell]
S  0.025  0.107  0.500 [8 per cell]
S  0.193  0.412  0.324 [16 per cell]
S  0.232  0.248  0.000 [8 per cell]

# 11
## K2BaVS4 (GGA-PBE)

Data for a relaxed structure of K2BaVS4.

## Properties
V = 532 Å³/cell
Total energy = -4.97 eV per atom
Spin magnetization = 2.00 Bohr magnetons per cell
Density = 2.5 Mg/m³

abc: 8.949 9.123 6.513
angles: 90.00 90.00 90.00
Space group Pmn2_1 (No. 31)
One atom of each set of equivalent atoms:
K  0.216  0.145  0.000 [4 per cell]
Ba  0.000  0.397  0.488 [2 per cell]
V  0.000  0.688  0.927 [2 per cell]
S  0.000  0.444  0.991 [2 per cell]
S  0.000  0.711  0.591 [2 per cell]
S  0.213  0.800  0.023 [4 per cell]

# 12
## KBaVS4 (GGA-PBE)

Data for a relaxed structure of KBaVS4.

## Properties
V = 416 Å³/cell
Total energy = -5.47 eV per atom
Spin magnetization = 0.00 Bohr magnetons per cell
Density = 2.8 Mg/m³

abc: 7.030 6.753 9.116
angles: 90.00 105.80 90.00
Space group P2_1/m (No. 11)
One atom of each set of equivalent atoms:
K  0.222  0.250  0.439 [2 per cell]
Ba  0.268  0.250  0.955 [2 per cell]
V  0.300  0.750  0.206 [2 per cell]
S  0.094  0.750  0.343 [2 per cell]
S  0.148  0.750  0.964 [2 per cell]
S  0.493  0.003  0.254 [4 per cell]

# 13
## KBaZnS2 (GGA-PBE)

Data for a relaxed structure of KBaZnS2.

## Properties
V = 314 Å³/cell
Total energy = -3.49 eV per atom
Spin magnetization = 0.00 Bohr magnetons per cell
Density = 3.2 Mg/m³

abc: 7.531 5.042 8.454
angles: 90.00 102.16 90.00
Space group P2/c (No. 13)
One atom of each set of equivalent atoms:
K  0.000  0.024  0.250 [2 per cell]
Ba  0.500  0.280  0.750 [2 per cell]
Zn  0.000  0.500  0.000 [2 per cell]
S  0.275  0.248  0.040 [4 per cell]

# 14
## K2BaSb (GGA-PBE)

Data for a relaxed structure of K2BaSb.

## Properties
V = 369 Å³/cell
Total energy = -2.39 eV per atom
Spin magnetization = 1.33 Bohr magnetons per cell
Density = 3.0 Mg/m³

abc: 7.157 7.874 6.542
angles: 90.00 90.00 90.00
Space group Cmmm (No. 65)
One atom of each set of equivalent atoms:
K  0.000  0.207  0.000 [4 per cell]
Ba  0.000  0.500  0.500 [2 per cell]
Sb  0.000  0.000  0.500 [2 per cell]

# 15
## KBa2Sb (GGA-PBE)

Data for a relaxed structure of KBa2Sb.

## Properties
V = 446 Å³/cell
Total energy = -2.74 eV per atom
Spin magnetization = 0.07 Bohr magnetons per cell
Density = 3.2 Mg/m³

abc: 4.532 5.454 18.030
angles: 90.00 90.00 90.00
Space group Imm2 (No. 44)
One atom of each set of equivalent atoms:
K  0.000  0.000  0.000 [2 per cell]
Ba  0.000  0.000  0.328 [2 per cell]
Ba  0.000  0.500  0.159 [2 per cell]
Sb  0.000  0.500  0.681 [2 per cell]

# 16
## KBa2Sb (GGA-PBE)

Data for a relaxed structure of KBa2Sb.

## Properties
V = 463 Å³/cell
Total energy = -2.68 eV per atom
Spin magnetization = 0.01 Bohr magnetons per cell
Density = 3.1 Mg/m³

abc: 4.577 6.323 16.007
angles: 90.00 90.00 90.00
Space group Immm (No. 71)
One atom of each set of equivalent atoms:
K  0.000  0.000  0.000 [2 per cell]
Ba  0.000  0.500  0.157 [4 per cell]
Sb  0.000  0.000  0.500 [2 per cell]

# 17
## K2BaSb (GGA-PBE)

Data for a relaxed structure of K2BaSb.

## Properties
V = 668 Å³/cell
Total energy = -2.41 eV per atom
Spin magnetization = 0.00 Bohr magnetons per cell
Density = 3.4 Mg/m³

abc: 8.744 8.744 8.744
angles: 90.00 90.00 90.00
Space group F-43m (No. 216)
One atom of each set of equivalent atoms:
K  0.000  0.000  0.000 [4 per cell]
K  0.250  0.250  0.250 [4 per cell]
Ba  0.000  0.000  0.500 [4 per cell]
Sb  0.250  0.250  0.750 [4 per cell]

# 18
## KBa4Sb (GGA-PBE)

Data for a relaxed structure of KBa4Sb.

## Properties
V = 1238 Å³/cell
Total energy = -1.99 eV per atom
Spin magnetization = 0.00 Bohr magnetons per cell
Density = 3.8 Mg/m³

abc: 10.737 10.737 10.737
angles: 90.00 90.00 90.00
Space group F-43m (No. 216)
One atom of each set of equivalent atoms:
K  0.000  0.000  0.000 [4 per cell]
Ba  0.123  0.123  0.377 [16 per cell]
Sb  0.250  0.250  0.750 [4 per cell]

# 19
## KBa2Sb (GGA-PBE)

Data for a relaxed structure of KBa2Sb.

## Properties
V = 339 Å³/cell
Total energy = -2.63 eV per atom
Spin magnetization = 0.70 Bohr magnetons per cell
Density = 4.3 Mg/m³

abc: 5.311 5.311 12.022
angles: 90.00 90.00 90.00
Space group I-4m2 (No. 119)
One atom of each set of equivalent atoms:
K  0.000  0.000  0.000 [2 per cell]
Ba  0.000  0.000  0.500 [2 per cell]
Ba  0.000  0.500  0.250 [2 per cell]
Sb  0.000  0.500  0.750 [2 per cell]

# 20
## KBa2Sb (GGA-PBE)

Data for a relaxed structure of KBa2Sb.

## Properties
V = 210 Å³/cell
Total energy = -2.81 eV per atom
Spin magnetization = 0.00 Bohr magnetons per cell
Density = 3.4 Mg/m³

abc: 4.433 4.436 10.675
angles: 90.00 90.05 90.00
Space group P2/m (No. 10)
One atom of each set of equivalent atoms:
K  0.000  0.000  0.000 [1 per cell]
Ba  0.498  0.500  0.667 [2 per cell]
Sb  0.000  0.000  0.500 [1 per cell]

# 21
## KBa2Sb (GGA-PBE)

Data for a relaxed structure of KBa2Sb.

## Properties
V = 172 Å³/cell
Total energy = -2.72 eV per atom
Spin magnetization = 0.00 Bohr magnetons per cell
Density = 4.2 Mg/m³

abc: 5.768 5.768 5.166
angles: 90.00 90.00 90.00
Space group P4/mmm (No. 123)
One atom of each set of equivalent atoms:
K  0.000  0.000  0.000 [1 per cell]
Ba  0.000  0.500  0.500 [2 per cell]
Sb  0.500  0.500  0.000 [1 per cell]

# 22
## K2BaSb (GGA-PBE)

Data for a relaxed structure of K2BaSb.

## Properties
V = 182 Å³/cell
Total energy = -2.24 eV per atom
Spin magnetization = 0.60 Bohr magnetons per cell
Density = 3.1 Mg/m³

abc: 4.404 5.554 7.445
angles: 90.00 90.00 90.00
Space group Pmmm (No. 47)
One atom of each set of equivalent atoms:
K  0.000  0.000  0.205 [2 per cell]
Ba  0.500  0.500  0.500 [1 per cell]
Sb  0.500  0.500  0.000 [1 per cell]

# 23
## K3BaSb (GGA-PBE)

Data for a relaxed structure of K3BaSb.

## Properties
V = 317 Å³/cell
Spin magnetization = 0.00 Bohr magnetons per cell
Polymorph energy (0 for the lowest one) = 0.000 eV/atom
Density = 2.0 Mg/m³

abc: 6.822 6.822 6.822
angles: 90.00 90.00 90.00
Space group Pm-3m (No. 221)
One atom of each set of equivalent atoms:
K  0.000  0.000  0.500 [3 per cell]
Ba  0.500  0.500  0.500 [1 per cell]
Sb  0.000  0.000  0.000 [1 per cell]